[1]
First-principles (GGA-PBE) data for crystalline La5Tb3In3 at its relaxed geometry, as listed in Alexandria via LeMat-Bulk.

Summary:
SG: C2, No. 5
Raw total energy: -4.377 eV per atom
Crystal system: monoclinic
Formation energy from the elements: -127 meV per atom

Cell lengths 3.6470, 11.2383, 11.0908 Å; angles 120.44, 108.22, 90.00 degrees
Fractional coordinates of all 11 atoms:
1 La 0.3940 0.6913 0.3926
2 La 0.6060 0.2987 0.6074
3 La 0.5000 0.3336 0.0000
4 La 0.6986 0.6341 0.7017
5 La 0.3014 0.9323 0.2983
6 Tb 0.5000 0.8603 0.0000
7 Tb 0.1931 0.1807 0.1887
8 Tb 0.8069 0.9920 0.8113
9 In 0.0000 0.5949 0.0000
10 In 0.1006 0.0420 0.6018
11 In 0.8994 0.4402 0.3982



[2]
First-principles (GGA-PBE) data for crystalline La4Tb7In at its relaxed geometry, as listed in Alexandria via LeMat-Bulk.

Summary:
SG: C2/m, No. 12
Raw total energy: -4.442 eV per atom
Crystal system: monoclinic
Formation energy from the elements: 130 meV per atom

Cell lengths 5.9548, 8.9223, 9.1416 Å; angles 67.71, 70.99, 70.51 degrees
Fractional coordinates of all 12 atoms:
1 La 0.5728 0.2917 0.5626
2 La 0.4272 0.7083 0.4374
3 La 0.7795 0.7488 0.6922
4 La 0.2205 0.2512 0.3078
5 Tb 0.8160 0.0311 0.3369
6 Tb 0.1840 0.9689 0.6631
7 Tb 0.0496 0.6493 0.2514
8 Tb 0.9504 0.3507 0.7486
9 Tb 0.2979 0.5249 0.8793
10 Tb 0.5000 0.0000 0.0000
11 Tb 0.7021 0.4751 0.1207
12 In 0.0000 0.0000 0.0000



Which formula does entry 2 have?
La4Tb7In



Number 2 is which compound?
La4Tb7In



The lowest raw total energy belongs to which entry?
La4Tb7In